# 1
First-principles (PBE) data for an optimized crystal structure of NaTlSn2, as listed in the Alexandria database.

Computed properties:
* polymorph energy (0 for the lowest one): 0.301 eV per formula unit
* energy of formation: -0.02 eV per atom

abc: 4.0545 4.0545 6.8875
angles: 90.00 90.00 90.00
Space group P4/mmm (No. 123)
Symmetry-distinct sites (fractional):
Na 0.0000 0.0000 0.0000
Tl 0.0000 0.0000 0.5000
Sn 0.5000 0.5000 0.2713

***

# 2
First-principles (PBE) data for an optimized crystal structure of CsGa2PdBr8, as listed in the Alexandria database.

Computed properties:
* formation energy from raw total energies: -986 kJ/mol of formula units

abc: 6.9176 6.9176 10.0426
angles: 90.00 90.00 120.00
Space group P-3 (No. 147)
Symmetry-distinct sites (fractional):
Cs 0.0000 0.0000 0.0000
Ga 0.3333 0.6667 0.7365
Pd 0.0000 0.0000 0.5000
Br 0.0126 0.3295 0.6657
Br 0.3333 0.6667 0.9730

***

# 3
First-principles (PBE) data for an optimized crystal structure of LaTb2Ho4Er, as listed in the Alexandria database.

Computed properties:
* energy of formation: 0.02 eV per atom

abc: 12.3050 7.1272 12.3090
angles: 90.00 109.37 90.00
Space group C2/m (No. 12)
Symmetry-distinct sites (fractional):
La 0.2500 0.2500 0.0000
Tb 0.0000 0.0000 0.0000
Tb 0.0000 0.0000 0.5000
Tb 0.2500 0.2500 0.5000
Ho 0.0013 0.2505 0.2522
Ho 0.2488 0.0000 0.7464
Ho 0.2487 0.5000 0.7462
Er 0.0000 0.5000 0.0000
Er 0.0000 0.5000 0.5000

***

# 4
First-principles (PBE) data for an optimized crystal structure of GaSiRu2, as listed in the Alexandria database.

Computed properties:
* formation energy from raw total energies: -196 kJ/mol of formula units
* polymorph energy (0 for the lowest one): 0.000 eV per formula unit

abc: 2.9641 2.9641 6.0362
angles: 90.00 90.00 90.00
Space group P4/mmm (No. 123)
Symmetry-distinct sites (fractional):
Ga 0.0000 0.0000 0.0000
Si 0.0000 0.0000 0.5000
Ru 0.5000 0.5000 0.2647

***

# 5
First-principles (PBE) data for an optimized crystal structure of Ac3Pr2TmSe6, as listed in the Alexandria database.

Computed properties:
* formation energy from raw total energies: -2106 kJ/mol of formula units

abc: 7.4377 12.9205 7.5620
angles: 90.00 109.23 90.00
Space group C2/m (No. 12)
Symmetry-distinct sites (fractional):
Ac 0.0000 0.0000 0.0000
Ac 0.0000 0.3268 0.0000
Pr 0.0000 0.1666 0.5000
Tm 0.0000 0.5000 0.5000
Se 0.2348 0.3406 0.7272
Se 0.2403 0.5000 0.2655

***

# 6
First-principles (PBE) data for an optimized crystal structure of ScMnOs2Au, as listed in the Alexandria database.

Computed properties:
* energy of formation: 2.28 eV per atom

abc: 4.6176 4.6176 4.8190
angles: 90.00 90.00 90.00
Space group P4/mmm (No. 123)
Symmetry-distinct sites (fractional):
Sc 0.0000 0.0000 0.0000
Mn 0.5000 0.5000 0.5000
Os 0.0000 0.5000 0.0000
Au 0.0000 0.0000 0.5000

***

Number 1: DOS(E_F) 1.79 states/eV/cell. Number 2: DOS(E_F) 6.83 states/eV/cell. Number 3: DOS(E_F) 42.47 states/eV/cell. Number 4: DOS(E_F) 3.47 states/eV/cell. Number 5: DOS(E_F) 11.84 states/eV/cell. Number 6: DOS(E_F) 8.25 states/eV/cell.